No. 1
{"formula": "RbBeCrTe3", "functional": "PBE-GGA", "state": "relaxed", "formation_energy_uncorrected_mev_per_atom": -356, "e_tot_ev_per_atom": -4.31, "magnetic_moment_mub_per_cell": 1.97, "dos_ef_per_ev_atom": 0.153, "sg": "P2_1/m", "lattice_angstrom": [[-2.1638, 3.1207, 1.0777], [-7.7317, -3.7260, -4.7346], [1.1935, -2.5368, 9.7426]], "species": ["Rb", "Rb", "Be", "Be", "Cr", "Cr", "Te", "Te", "Te", "Te", "Te", "Te"], "frac_coords": [[0.2500, 0.1872, 0.2365], [0.7500, 0.8128, 0.7635], [0.2500, 0.0746, 0.5872], [0.7500, 0.9254, 0.4128], [0.2500, 0.6197, 0.1144], [0.7500, 0.3803, 0.8856], [0.7500, 0.8336, 0.1467], [0.2500, 0.1664, 0.8533], [0.2500, 0.7872, 0.4410], [0.7500, 0.2128, 0.5590], [0.7500, 0.4657, 0.1643], [0.2500, 0.5343, 0.8357]]}


No. 2
{"formula": "Ta2NbPd5", "functional": "PBE-GGA", "state": "relaxed", "e_form_mev_per_atom": -336, "e_tot_ev_per_atom": -7.80, "magnetic_moment_mub_per_cell": 0.00, "dos_ef_per_ev_atom": 0.651, "sg": "Pbam", "lattice_angstrom": [[3.8958, 0.0000, 0.0000], [0.0000, 5.7484, 0.0000], [0.0000, 0.0000, 11.5003]], "species": ["Ta", "Ta", "Ta", "Ta", "Nb", "Nb", "Pd", "Pd", "Pd", "Pd", "Pd", "Pd", "Pd", "Pd", "Pd", "Pd"], "frac_coords": [[0.5000, 0.2539, 0.3736], [0.5000, 0.7461, 0.6264], [0.5000, 0.2461, 0.8736], [0.5000, 0.7539, 0.1264], [0.0000, 0.0000, 0.5000], [0.0000, 0.5000, 0.0000], [0.5000, 0.2478, 0.1258], [0.5000, 0.7522, 0.8742], [0.5000, 0.7478, 0.3742], [0.5000, 0.2522, 0.6258], [0.0000, 0.0038, 0.7493], [0.0000, 0.9962, 0.2507], [0.0000, 0.5038, 0.7507], [0.0000, 0.4962, 0.2493], [0.0000, 0.5000, 0.5000], [0.0000, 0.0000, 0.0000]]}


No. 3
{"formula": "Pm6Ge2B", "functional": "PBE-GGA", "state": "relaxed", "e_form_mev_per_atom": -363, "e_tot_ev_per_atom": -5.30, "magnetic_moment_mub_per_cell": 0.03, "dos_ef_per_ev_atom": 1.302, "sg": "Amm2", "lattice_angstrom": [[-2.9900, 0.3022, 2.7993], [-5.4981, -1.3372, -5.7284], [3.1731, -6.1842, 4.0569]], "species": ["Pm", "Pm", "Pm", "Pm", "Pm", "Pm", "Ge", "Ge", "B"], "frac_coords": [[0.5000, 0.5764, 0.0000], [0.5000, 0.4230, 0.4231], [0.5000, 0.9999, 0.5769], [0.0000, 0.2337, 0.0000], [0.0000, 0.7666, 0.7668], [0.0000, 0.9999, 0.2332], [0.0000, 0.3332, 0.6664], [0.0000, 0.6668, 0.3336], [0.5000, 0.0005, 0.0000]]}


No. 4
{"formula": "Re2Rh3", "functional": "PBE-GGA", "state": "relaxed", "de_polymorph_mev_per_atom": 612, "e_form_mev_per_atom": 498, "e_tot_ev_per_atom": -8.89, "magnetic_moment_mub_per_cell": 0.01, "dos_ef_per_ev_atom": 1.667, "sg": "P-3m1", "lattice_angstrom": [[-0.6241, 3.6908, -1.9636], [-2.9148, -3.0504, -0.2576], [-2.3740, 1.9027, 4.3310]], "species": ["Re", "Re", "Rh", "Rh", "Rh"], "frac_coords": [[0.6667, 0.3333, 0.1407], [0.3333, 0.6667, 0.8593], [0.0000, 0.0000, 0.0000], [0.6667, 0.3333, 0.6267], [0.3333, 0.6667, 0.3733]]}


No. 5
{"formula": "Ce2TmTl", "functional": "PBE-GGA", "state": "relaxed", "de_polymorph_mev_per_atom": 0, "e_form_mev_per_atom": -143, "e_tot_ev_per_atom": -4.82, "magnetic_moment_mub_per_cell": 0.00, "dos_ef_per_ev_atom": 1.844, "sg": "P2_1/m", "lattice_angstrom": [[-3.3821, -0.5654, -2.9623], [2.0886, -3.3278, -1.7494], [-3.7475, -6.7931, 8.4480]], "species": ["Ce", "Ce", "Ce", "Ce", "Tm", "Tm", "Tl", "Tl"], "frac_coords": [[0.6111, 0.2500, 0.1187], [0.3889, 0.7500, 0.8813], [0.0033, 0.7500, 0.1139], [0.9967, 0.2500, 0.8861], [0.6964, 0.7500, 0.3922], [0.3036, 0.2500, 0.6078], [0.1813, 0.2500, 0.3348], [0.8187, 0.7500, 0.6652]]}


No. 6
{"formula": "Ac2YTl", "functional": "PBE-GGA", "state": "relaxed", "de_polymorph_mev_per_atom": 56, "e_form_mev_per_atom": -50, "e_tot_ev_per_atom": -4.31, "magnetic_moment_mub_per_cell": 0.51, "dos_ef_per_ev_atom": 1.533, "sg": "R3m", "lattice_angstrom": [[-1.4937, 0.3217, 3.6084], [1.9763, -1.4162, 3.0731], [5.4433, 9.7866, 3.5122]], "species": ["Ac", "Ac", "Y", "Tl"], "frac_coords": [[0.0795, 0.0795, 0.7619], [0.2541, 0.2541, 0.2382], [0.4999, 0.4999, 0.5000], [0.6666, 0.6666, 0.9999]]}


No. 7
{"formula": "HoIn6", "functional": "PBE-GGA", "state": "relaxed", "e_form_mev_per_atom": 490, "e_tot_ev_per_atom": -2.51, "magnetic_moment_mub_per_cell": 0.00, "dos_ef_per_ev_atom": 0.863, "sg": "Im-3m", "lattice_angstrom": [[6.9027, 0.0000, 0.0000], [-2.3009, 6.5080, 0.0000], [-2.3009, -3.2540, 5.6361]], "species": ["Ho", "In", "In", "In", "In", "In", "In"], "frac_coords": [[0.0000, 0.0000, 0.0000], [0.2500, 0.7500, 0.5000], [0.5000, 0.7500, 0.2500], [0.2500, 0.5000, 0.7500], [0.7500, 0.2500, 0.5000], [0.5000, 0.2500, 0.7500], [0.7500, 0.5000, 0.2500]]}


No. 8
{"formula": "ThCuHgAu", "functional": "PBE-GGA", "state": "relaxed", "e_form_mev_per_atom": -312, "e_tot_ev_per_atom": -4.09, "magnetic_moment_mub_per_cell": 0.00, "dos_ef_per_ev_atom": 1.009, "sg": "F-43m", "lattice_angstrom": [[4.9612, 0.0000, 0.0000], [2.4806, 4.2965, 0.0000], [2.4806, 1.4322, 4.0508]], "species": ["Cu", "Au", "Hg", "Th"], "frac_coords": [[0.2500, 0.2500, 0.2500], [0.7500, 0.7500, 0.7500], [0.5000, 0.5000, 0.5000], [0.0000, 0.0000, 0.0000]]}